Pr7Nd2Ho3: relaxed, PBE.

Values from the calculation:
The electronic total energy is -4.663 eV/atom. Its calculated density is 7.02 g cm⁻³. Its total magnetization is 0.00 μB/f.u. The value obtained for the density of states at the Fermi level is 1.492 states/eV per atom. The space group is P2/m, No. 10.

Cell lengths 6.5536, 3.6025, 17.8081 Å; angles 90.00, 95.69, 90.00 degrees
Element x y z (fractional)
Pr 0.0000 0.0000 0.0000
Pr 0.2275 0.5000 0.1711
Pr 0.2580 0.5000 0.4945
Pr 0.2794 0.0000 0.8352
Pr 0.7206 0.0000 0.1648
Pr 0.7420 0.5000 0.5055
Pr 0.7725 0.5000 0.8289
Nd 0.0588 0.5000 0.6702
Nd 0.9412 0.5000 0.3298
Ho 0.4565 0.0000 0.3409
Ho 0.5000 0.5000 0.0000
Ho 0.5435 0.0000 0.6591



Pr3Nd8Ho: relaxed, PBE.

Values from the calculation:
The electronic total energy is -4.470 eV/atom. Its calculated density is 6.40 g cm⁻³. Its total magnetization is 0.00 μB/f.u. The value obtained for the density of states at the Fermi level is 1.315 states/eV per atom. The space group is Immm, No. 71.

Cell lengths 8.8730, 8.8730, 8.8730 Å; angles 135.70, 99.19, 97.15 degrees
Element x y z (fractional)
Pr 0.0000 0.0000 0.0000
Pr 0.2562 0.7562 0.5000
Pr 0.7438 0.2438 0.5000
Nd 0.0869 0.2514 0.8355
Nd 0.2607 0.2416 0.5023
Nd 0.2607 0.7584 0.0190
Nd 0.4159 0.2514 0.1645
Nd 0.5841 0.7486 0.8355
Nd 0.7393 0.2416 0.9810
Nd 0.7393 0.7584 0.4977
Nd 0.9131 0.7486 0.1645
Ho 0.5000 0.5000 0.0000



Pr2Nd2Ho7: relaxed, PBE.

Values from the calculation:
The electronic total energy is -4.434 eV/atom. Its calculated density is 7.78 g cm⁻³. Its total magnetization is 0.00 μB/f.u. The value obtained for the density of states at the Fermi level is 1.626 states/eV per atom. The space group is C2/m, No. 12.

Cell lengths 7.5887, 7.5887, 6.9351 Å; angles 104.75, 104.75, 95.15 degrees
Element x y z (fractional)
Pr 0.1675 0.8325 0.0000
Pr 0.8325 0.1675 0.0000
Nd 0.3692 0.3692 0.5813
Nd 0.6308 0.6308 0.4187
Ho 0.0000 0.0000 0.5000
Ho 0.0767 0.5818 0.3130
Ho 0.3085 0.3085 0.0162
Ho 0.4182 0.9233 0.6870
Ho 0.5818 0.0767 0.3130
Ho 0.6915 0.6915 0.9838
Ho 0.9233 0.4182 0.6870



PrNd2Ho4: relaxed, PBE.

Values from the calculation:
The electronic total energy is -4.541 eV/atom. Its calculated density is 7.84 g cm⁻³. Its total magnetization is 0.00 μB/f.u. The value obtained for the density of states at the Fermi level is 1.519 states/eV per atom. The space group is P2_1/m, No. 11.

Cell lengths 6.1487, 6.6215, 11.6930 Å; angles 90.00, 104.37, 90.00 degrees
Element x y z (fractional)
Pr 0.0374 0.2500 0.3633
Pr 0.9626 0.7500 0.6367
Nd 0.1558 0.2500 0.9518
Nd 0.3974 0.7500 0.5127
Nd 0.6026 0.2500 0.4873
Nd 0.8442 0.7500 0.0482
Ho 0.1468 0.2500 0.6679
Ho 0.2848 0.7500 0.9222
Ho 0.3428 0.5081 0.2103
Ho 0.3428 0.9919 0.2103
Ho 0.6572 0.0081 0.7897
Ho 0.6572 0.4919 0.7897
Ho 0.7152 0.2500 0.0778
Ho 0.8532 0.7500 0.3321



Pr2NdHo2: relaxed, PBE.

Values from the calculation:
The electronic total energy is -4.690 eV/atom. Its calculated density is 7.41 g cm⁻³. Its total magnetization is 0.00 μB/f.u. The value obtained for the density of states at the Fermi level is 1.308 states/eV per atom. The space group is C2/m, No. 12.

Cell lengths 6.3124, 3.6492, 14.8567 Å; angles 90.00, 98.20, 90.00 degrees
Element x y z (fractional)
Pr 0.1314 0.0000 0.3941
Pr 0.3686 0.5000 0.6059
Pr 0.6314 0.5000 0.3941
Pr 0.8686 0.0000 0.6059
Nd 0.0000 0.0000 0.0000
Nd 0.5000 0.5000 0.0000
Ho 0.1006 0.5000 0.8037
Ho 0.3994 0.0000 0.1963
Ho 0.6006 0.0000 0.8037
Ho 0.8994 0.5000 0.1963



Pr2Nd7Ho3: relaxed, PBE.

Values from the calculation:
The electronic total energy is -4.657 eV/atom. Its calculated density is 7.17 g cm⁻³. Its total magnetization is 0.00 μB/f.u. The value obtained for the density of states at the Fermi level is 1.513 states/eV per atom. The space group is P2/m, No. 10.

Cell lengths 6.5118, 3.5913, 17.7877 Å; angles 90.00, 95.83, 90.00 degrees
Element x y z (fractional)
Pr 0.0582 0.0000 0.1706
Pr 0.9418 0.0000 0.8294
Nd 0.0000 0.5000 0.5000
Nd 0.2284 0.0000 0.6697
Nd 0.2583 0.0000 0.9959
Nd 0.2784 0.5000 0.3360
Nd 0.7216 0.5000 0.6640
Nd 0.7417 0.0000 0.0041
Nd 0.7716 0.0000 0.3303
Ho 0.4555 0.5000 0.8410
Ho 0.5000 0.0000 0.5000
Ho 0.5445 0.5000 0.1590



Pr12Nd7Ho: relaxed, PBE.

Values from the calculation:
The electronic total energy is -4.555 eV/atom. Its calculated density is 6.58 g cm⁻³. Its total magnetization is 0.00 μB/f.u. The value obtained for the density of states at the Fermi level is 2.028 states/eV per atom. The space group is R-3, No. 148.

Cell lengths 8.9795, 8.9795, 8.9795 Å; angles 88.14, 88.14, 88.14 degrees
Element x y z (fractional)
Pr 0.0097 0.8864 0.3611
Pr 0.1136 0.6389 0.9903
Pr 0.2247 0.3569 0.7560
Pr 0.2440 0.7753 0.6431
Pr 0.3569 0.7560 0.2247
Pr 0.3611 0.0097 0.8864
Pr 0.6389 0.9903 0.1136
Pr 0.6431 0.2440 0.7753
Pr 0.7560 0.2247 0.3569
Pr 0.7753 0.6431 0.2440
Pr 0.8864 0.3611 0.0097
Pr 0.9903 0.1136 0.6389
Nd 0.0000 0.0000 0.0000
Nd 0.1102 0.4271 0.3533
Nd 0.3533 0.1102 0.4271
Nd 0.4271 0.3533 0.1102
Nd 0.5729 0.6467 0.8898
Nd 0.6467 0.8898 0.5729
Nd 0.8898 0.5729 0.6467
Ho 0.5000 0.5000 0.5000



PrNd4Ho10: relaxed, PBE.

Values from the calculation:
The electronic total energy is -4.200 eV/atom. Its calculated density is 7.47 g cm⁻³. Its total magnetization is 0.00 μB/f.u. The value obtained for the density of states at the Fermi level is 1.716 states/eV per atom. The space group is I4/m, No. 87.

Cell lengths 8.8275, 8.8275, 8.8275 Å; angles 112.22, 112.22, 104.10 degrees
Element x y z (fractional)
Pr 0.0000 0.0000 0.0000
Nd 0.2142 0.4493 0.6635
Nd 0.4493 0.7858 0.2350
Nd 0.5507 0.2142 0.7650
Nd 0.7858 0.5507 0.3365
Ho 0.0460 0.3864 0.0941
Ho 0.0481 0.9540 0.3404
Ho 0.2500 0.7500 0.5000
Ho 0.2923 0.9519 0.9059
Ho 0.3864 0.2923 0.3404
Ho 0.6136 0.7077 0.6596
Ho 0.7077 0.0481 0.0941
Ho 0.7500 0.2500 0.5000
Ho 0.9519 0.0460 0.6596
Ho 0.9540 0.6136 0.9059



PrNd4Ho15: relaxed, PBE.

Values from the calculation:
The electronic total energy is -4.605 eV/atom. Its calculated density is 8.25 g cm⁻³. Its total magnetization is 0.00 μB/f.u. The value obtained for the density of states at the Fermi level is 1.348 states/eV per atom. The space group is P4/mmm, No. 123.

Cell lengths 5.0542, 5.0542, 25.1347 Å; angles 90.00, 90.00, 90.00 degrees
Element x y z (fractional)
Pr 0.0000 0.0000 0.0000
Nd 0.0000 0.0000 0.2001
Nd 0.0000 0.0000 0.4000
Nd 0.0000 0.0000 0.6000
Nd 0.0000 0.0000 0.7999
Ho 0.0000 0.5000 0.1003
Ho 0.0000 0.5000 0.3001
Ho 0.0000 0.5000 0.5000
Ho 0.0000 0.5000 0.6999
Ho 0.0000 0.5000 0.8997
Ho 0.5000 0.0000 0.1003
Ho 0.5000 0.0000 0.3001
Ho 0.5000 0.0000 0.5000
Ho 0.5000 0.0000 0.6999
Ho 0.5000 0.0000 0.8997
Ho 0.5000 0.5000 0.0000
Ho 0.5000 0.5000 0.2002
Ho 0.5000 0.5000 0.4000
Ho 0.5000 0.5000 0.6000
Ho 0.5000 0.5000 0.7998



PrNdHo5: relaxed, PBE.

Values from the calculation:
The electronic total energy is -3.542 eV/atom. Its calculated density is 6.25 g cm⁻³. Its total magnetization is 0.00 μB/f.u. The value obtained for the density of states at the Fermi level is 1.441 states/eV per atom. The space group is Immm, No. 71.

Cell lengths 5.7596, 8.6707, 11.8047 Å; angles 90.00, 90.00, 90.00 degrees
Element x y z (fractional)
Pr 0.0000 0.0000 0.0000
Pr 0.5000 0.5000 0.5000
Nd 0.0000 0.0000 0.5000
Nd 0.5000 0.5000 0.0000
Ho 0.0000 0.0000 0.2529
Ho 0.0000 0.0000 0.7471
Ho 0.0000 0.3209 0.5000
Ho 0.0000 0.5000 0.0000
Ho 0.0000 0.6791 0.5000
Ho 0.5000 0.0000 0.5000
Ho 0.5000 0.1791 0.0000
Ho 0.5000 0.5000 0.2471
Ho 0.5000 0.5000 0.7529
Ho 0.5000 0.8209 0.0000



Pr12NdHo2: relaxed, PBE.

Values from the calculation:
The electronic total energy is -4.601 eV/atom. Its calculated density is 6.67 g cm⁻³. Its total magnetization is 0.00 μB/f.u. The value obtained for the density of states at the Fermi level is 1.420 states/eV per atom. The space group is Cmme, No. 67.

Cell lengths 6.9066, 6.9066, 25.2685 Å; angles 90.00, 90.00, 116.55 degrees
Element x y z (fractional)
Pr 0.0023 0.5023 0.1320
Pr 0.0033 0.9967 0.9257
Pr 0.0198 0.5198 0.5853
Pr 0.0244 0.9756 0.4399
Pr 0.2500 0.2500 0.1993
Pr 0.2500 0.2500 0.3244
Pr 0.2500 0.2500 0.6756
Pr 0.2500 0.2500 0.8007
Pr 0.4756 0.5244 0.4399
Pr 0.4802 0.9802 0.5853
Pr 0.4967 0.5033 0.9257
Pr 0.4977 0.9977 0.1320
Pr 0.5023 0.0023 0.8680
Pr 0.5033 0.4967 0.0743
Pr 0.5198 0.0198 0.4147
Pr 0.5244 0.4756 0.5601
Pr 0.7500 0.7500 0.1993
Pr 0.7500 0.7500 0.3244
Pr 0.7500 0.7500 0.6756
Pr 0.7500 0.7500 0.8007
Pr 0.9756 0.0244 0.5601
Pr 0.9802 0.4802 0.4147
Pr 0.9967 0.0033 0.0743
Pr 0.9977 0.4977 0.8680
Nd 0.2500 0.7500 0.0016
Nd 0.7500 0.2500 0.9984
Ho 0.2500 0.7500 0.2713
Ho 0.2500 0.7500 0.7324
Ho 0.7500 0.2500 0.2676
Ho 0.7500 0.2500 0.7287



Pr12NdHo7: relaxed, PBE.

Values from the calculation:
The electronic total energy is -4.470 eV/atom. Its calculated density is 7.03 g cm⁻³. Its total magnetization is 0.00 μB/f.u. The value obtained for the density of states at the Fermi level is 1.442 states/eV per atom. The space group is R-3m, No. 166.

Cell lengths 11.5854, 11.5854, 11.5854 Å; angles 116.81, 116.81, 116.81 degrees
Element x y z (fractional)
Pr 0.0000 0.4118 0.5882
Pr 0.0000 0.5882 0.4118
Pr 0.0785 0.0785 0.4323
Pr 0.0785 0.4323 0.0785
Pr 0.4118 0.0000 0.5882
Pr 0.4118 0.5882 0.0000
Pr 0.4323 0.0785 0.0785
Pr 0.5677 0.9215 0.9215
Pr 0.5882 0.0000 0.4118
Pr 0.5882 0.4118 0.0000
Pr 0.9215 0.5677 0.9215
Pr 0.9215 0.9215 0.5677
Nd 0.5000 0.5000 0.5000
Ho 0.0000 0.0000 0.0000
Ho 0.1302 0.3758 0.3758
Ho 0.3758 0.1302 0.3758
Ho 0.3758 0.3758 0.1302
Ho 0.6242 0.6242 0.8698
Ho 0.6242 0.8698 0.6242
Ho 0.8698 0.6242 0.6242



Pr7Nd3Ho: relaxed, PBE.

Values from the calculation:
The electronic total energy is -4.533 eV/atom. Its calculated density is 6.49 g cm⁻³. Its total magnetization is 0.00 μB/f.u. The value obtained for the density of states at the Fermi level is 1.424 states/eV per atom. The space group is C2/m, No. 12.

Cell lengths 7.8943, 7.8943, 6.5822 Å; angles 93.69, 93.69, 82.28 degrees
Element x y z (fractional)
Pr 0.0000 0.0000 0.0000
Pr 0.0718 0.4173 0.2617
Pr 0.2602 0.2602 0.7843
Pr 0.4173 0.0718 0.2617
Pr 0.5827 0.9282 0.7383
Pr 0.7398 0.7398 0.2157
Pr 0.9282 0.5827 0.7383
Nd 0.3291 0.6709 0.0000
Nd 0.5000 0.5000 0.5000
Nd 0.6709 0.3291 0.0000
Ho 0.0000 0.0000 0.5000



Pr4NdHo: relaxed, PBE.

Values from the calculation:
The electronic total energy is -4.573 eV/atom. Its calculated density is 6.74 g cm⁻³. Its total magnetization is 0.00 μB/f.u. The value obtained for the density of states at the Fermi level is 1.904 states/eV per atom. The space group is C2/m, No. 12.

Cell lengths 11.9565, 3.5150, 11.7679 Å; angles 90.00, 119.58, 90.00 degrees
Element x y z (fractional)
Pr 0.1862 0.0000 0.3415
Pr 0.1896 0.0000 0.8460
Pr 0.3104 0.5000 0.1540
Pr 0.3138 0.5000 0.6585
Pr 0.6862 0.5000 0.3415
Pr 0.6896 0.5000 0.8460
Pr 0.8104 0.0000 0.1540
Pr 0.8138 0.0000 0.6585
Nd 0.0000 0.0000 0.5000
Nd 0.5000 0.5000 0.5000
Ho 0.0000 0.0000 0.0000
Ho 0.5000 0.5000 0.0000



PrNd3Ho: relaxed, PBE.

Values from the calculation:
The electronic total energy is -4.411 eV/atom. Its calculated density is 6.78 g cm⁻³. Its total magnetization is 0.00 μB/f.u. The value obtained for the density of states at the Fermi level is 0.845 states/eV per atom. The space group is Cmcm, No. 63.

Cell lengths 8.1751, 8.1751, 6.2433 Å; angles 90.00, 90.00, 119.93 degrees
Element x y z (fractional)
Pr 0.2012 0.7988 0.7500
Pr 0.7988 0.2012 0.2500
Nd 0.0000 0.0000 0.0000
Nd 0.0000 0.0000 0.5000
Nd 0.2023 0.4010 0.7500
Nd 0.4010 0.2023 0.2500
Nd 0.5990 0.7977 0.7500
Nd 0.7977 0.5990 0.2500
Ho 0.3350 0.6650 0.2500
Ho 0.6650 0.3350 0.7500



Pr3NdHo4: relaxed, PBE.

Values from the calculation:
The electronic total energy is -4.647 eV/atom. Its calculated density is 7.55 g cm⁻³. Its total magnetization is 0.00 μB/f.u. The value obtained for the density of states at the Fermi level is 1.838 states/eV per atom. The space group is Pmn2_1, No. 31.

Cell lengths 11.6320, 7.3446, 6.3170 Å; angles 90.00, 90.00, 90.00 degrees
Element x y z (fractional)
Pr 0.0000 0.1286 0.0000
Pr 0.2497 0.1285 0.3383
Pr 0.2503 0.8715 0.8383
Pr 0.5000 0.8714 0.5000
Pr 0.7503 0.1285 0.3383
Pr 0.7497 0.8715 0.8383
Nd 0.0000 0.8705 0.5006
Nd 0.5000 0.1295 0.0006
Ho 0.0000 0.3801 0.5026
Ho 0.0000 0.6203 0.0032
Ho 0.2502 0.3800 0.8358
Ho 0.2498 0.6200 0.3358
Ho 0.5000 0.3797 0.5032
Ho 0.5000 0.6199 0.0026
Ho 0.7498 0.3800 0.8358
Ho 0.7502 0.6200 0.3358



PrNd12Ho6: relaxed, PBE.

Values from the calculation:
The electronic total energy is -4.518 eV/atom. Its calculated density is 7.11 g cm⁻³. Its total magnetization is 0.00 μB/f.u. The value obtained for the density of states at the Fermi level is 1.983 states/eV per atom. The space group is R-3m, No. 166.

Cell lengths 8.8706, 8.8706, 8.8706 Å; angles 99.08, 99.08, 99.08 degrees
Element x y z (fractional)
Pr 0.0000 0.0000 0.0000
Nd 0.0823 0.3539 0.3539
Nd 0.2415 0.5000 0.7585
Nd 0.2415 0.7585 0.5000
Nd 0.3539 0.0823 0.3539
Nd 0.3539 0.3539 0.0823
Nd 0.5000 0.2415 0.7585
Nd 0.5000 0.7585 0.2415
Nd 0.6461 0.6461 0.9177
Nd 0.6461 0.9177 0.6461
Nd 0.7585 0.2415 0.5000
Nd 0.7585 0.5000 0.2415
Nd 0.9177 0.6461 0.6461
Ho 0.0989 0.0989 0.6622
Ho 0.0989 0.6622 0.0989
Ho 0.3378 0.9011 0.9011
Ho 0.6622 0.0989 0.0989
Ho 0.9011 0.3378 0.9011
Ho 0.9011 0.9011 0.3378



Pr5Nd2Ho2: relaxed, PBE.

Values from the calculation:
The electronic total energy is -4.716 eV/atom. Its calculated density is 7.00 g cm⁻³. Its total magnetization is 0.00 μB/f.u. The value obtained for the density of states at the Fermi level is 1.592 states/eV per atom. The space group is C2/m, No. 12.

Cell lengths 6.3586, 6.3586, 10.9907 Å; angles 106.88, 106.88, 48.13 degrees
Element x y z (fractional)
Pr 0.0000 0.0000 0.0000
Pr 0.3323 0.3323 0.4449
Pr 0.3336 0.3336 0.1111
Pr 0.6664 0.6664 0.8889
Pr 0.6677 0.6677 0.5551
Nd 0.0013 0.0013 0.6685
Nd 0.9987 0.9987 0.3315
Ho 0.3333 0.3333 0.7773
Ho 0.6667 0.6667 0.2227



Pr15NdHo4: relaxed, PBE.

Values from the calculation:
The electronic total energy is -4.728 eV/atom. Its calculated density is 6.90 g cm⁻³. Its total magnetization is 0.00 μB/f.u. The value obtained for the density of states at the Fermi level is 1.409 states/eV per atom. The space group is P4/mmm, No. 123.

Cell lengths 5.2053, 5.2053, 25.8973 Å; angles 90.00, 90.00, 90.00 degrees
Element x y z (fractional)
Pr 0.0000 0.0000 0.0000
Pr 0.0000 0.0000 0.2016
Pr 0.0000 0.0000 0.4003
Pr 0.0000 0.0000 0.5997
Pr 0.0000 0.0000 0.7984
Pr 0.0000 0.5000 0.1016
Pr 0.0000 0.5000 0.3008
Pr 0.0000 0.5000 0.5000
Pr 0.0000 0.5000 0.6992
Pr 0.0000 0.5000 0.8984
Pr 0.5000 0.0000 0.1016
Pr 0.5000 0.0000 0.3008
Pr 0.5000 0.0000 0.5000
Pr 0.5000 0.0000 0.6992
Pr 0.5000 0.0000 0.8984
Nd 0.5000 0.5000 0.0000
Ho 0.5000 0.5000 0.2013
Ho 0.5000 0.5000 0.4004
Ho 0.5000 0.5000 0.5996
Ho 0.5000 0.5000 0.7987